# 1
DFT (GGA-PBEsol) results for a relaxed structure of InTcBr2.

Properties
- Energy above the most stable polymorph in this dataset: 0 meV per atom
- Total magnetic moment: 0.000 μB per cell
- Formation energy without anion corrections: 184 meV per atom
- Density of states at the Fermi level: 1.796 states/eV/f.u.

Cell and atoms, written as CIF:
```
data_InTcBr2
_symmetry_space_group_name_H-M 'P 1'
_symmetry_Int_Tables_number 1
_symmetry_space_group_name_Hall 'P 1'
_cell_length_a 3.2058
_cell_length_b 3.2058
_cell_length_c 8.1530
_cell_angle_alpha 90.00
_cell_angle_beta 90.00
_cell_angle_gamma 90.00
loop_
_atom_site_label
_atom_site_type_symbol
_atom_site_fract_x
_atom_site_fract_y
_atom_site_fract_z
In1 In 0.0000 0.0000 0.0000
Tc1 Tc 0.5000 0.5000 0.2248
Br1 Br 0.0000 0.0000 0.3955
Br2 Br 0.5000 0.5000 0.7614
```


# 2
DFT (GGA-PBEsol) results for a relaxed structure of CrSbBr3.

Properties
- Total magnetic moment: 5.424 μB per cell
- Formation energy without anion corrections: 335 meV per atom
- Density of states at the Fermi level: 10.250 states/eV/f.u.

Cell and atoms, written as CIF:
```
data_CrSbBr3
_symmetry_space_group_name_H-M 'P 1'
_symmetry_Int_Tables_number 1
_symmetry_space_group_name_Hall 'P 1'
_cell_length_a 5.5514
_cell_length_b 5.5514
_cell_length_c 5.5514
_cell_angle_alpha 90.00
_cell_angle_beta 90.00
_cell_angle_gamma 90.00
loop_
_atom_site_label
_atom_site_type_symbol
_atom_site_fract_x
_atom_site_fract_y
_atom_site_fract_z
Cr1 Cr 0.0000 0.0000 0.0000
Sb1 Sb 0.5000 0.5000 0.5000
Br1 Br 0.0000 0.5000 0.5000
Br2 Br 0.5000 0.0000 0.5000
Br3 Br 0.5000 0.5000 0.0000
```


Which of these has the highest formation energy without anion corrections? CrSbBr3


Look up the formation energy without anion corrections of the first one. 184 meV per atom


Among the records above, which one has the highest density of states at the Fermi level? CrSbBr3


Which of these has the lowest total magnetic moment? InTcBr2